CrRhF3 after structural relaxation. Source: Alexandria via LeMat-Bulk, functional PBE with a Hubbard U.

It has space group Pm-3m (No. 221), with a = 4.098 Å, b = 4.098 Å, c = 4.098 Å, α = 90.00°, β = 90.00° and γ = 90.00°. Symmetry generates all atoms from Cr at (0.000, 0.000, 0.000), Rh at (0.500, 0.500, 0.500) and F at (0.000, 0.000, 0.500).

The value obtained for the total energy is -5.324 eV per atom. Its density of states at the Fermi level is 7.70 states/eV per cell. The calculation puts the energy above the most stable polymorph in this dataset at 0.0 meV per atom.